Density functional theory data (PBE) for a relaxed La5HgPd crystal.

```
La5HgPd
1.0
-3.668 4.044 -3.152
-4.794 -3.660 -1.835
-8.371 2.620 8.164
Hg La Pd
2 10 2
Cartesian
-10.434 2.670 3.542
-6.399 0.334 -0.365
-9.549 0.786 6.042
-9.980 5.774 3.011
-13.335 1.485 4.922
-6.852 -2.769 0.166
-8.786 2.662 0.415
-8.047 0.343 2.763
-4.906 2.605 1.425
-7.284 2.218 -2.865
-11.927 0.400 1.752
-3.497 1.519 -1.745
0.000 0.000 0.000
-4.186 1.310 4.082
```

Summary:
Energy in eV/atom: -4.58
Symmetry: C2/c